Here is crystalline Ac2ScSn3Ir4 at its relaxed geometry from the Alexandria database. Energies are from PBE.

abc: 4.4506 4.4506 11.5398
angles: 90.00 90.00 90.00
Space group P-4m2 (No. 115)
Inequivalent atoms, fractional coordinates:
1 Ac 0.0000 0.5000 0.2449
2 Sc 0.0000 0.0000 0.5000
3 Sn 0.0000 0.5000 0.8738
4 Sn 0.5000 0.5000 0.5000
5 Ir 0.0000 0.0000 0.0000
6 Ir 0.0000 0.5000 0.6404
7 Ir 0.5000 0.5000 0.0000

Results
Total moment, μB per cell: 0.00
Calculated formation energy, kJ/mol of atoms: -65
Calculated volume, Å³ per atom: 22.9
Calculated total energy, eV per atom: -6.8719
Density of states at the Fermi level, states/eV per atom: 0.595